Below is a relaxed Te2AuSe crystal, with properties calculated at the PBE-GGA level.

The calculation puts the formation energy without anion corrections at 190 meV per atom. The total DFT energy (no corrections) comes out at -3.07 eV/atom. For the total magnetization, the calculation gives 0.000 μB/atom. The value obtained for the relative energy among the computed polymorphs is 0.204 eV per atom.

The structure belongs to space group Cmmm (No. 65); the cell edges are 3.946, 8.453 and 7.911 Å and the angles 90.00°, 90.00° and 90.00°. Symmetry generates all atoms from Te at (0.000, 0.000, 0.242), Au at (0.000, 0.500, 0.000) and Se at (0.000, 0.500, 0.500).